No. 1
This record from Alexandria describes crystalline K3SrTl8 at its relaxed geometry. The functional is PBE.

abc: 11.484 11.484 11.484
angles: 33.69 33.69 33.69
Positions (direct):
K  0.000  0.000  0.000
K  0.123  0.123  0.123
K  0.628  0.628  0.628
Sr  0.502  0.502  0.502
Tl  0.062  0.062  0.561
Tl  0.062  0.561  0.062
Tl  0.066  0.564  0.564
Tl  0.314  0.314  0.314
Tl  0.561  0.062  0.062
Tl  0.564  0.066  0.564
Tl  0.564  0.564  0.066
Tl  0.812  0.812  0.812

Offset from the most stable computed form   0.184 eV/f.u.
Energy relative to the elements   -13.4 kJ/mol of atoms
DOS(E_F)   5.791 states/eV/cell
Space-group type   R3m

***

No. 2
This record from Alexandria describes crystalline K2SrTl at its relaxed geometry. The functional is PBE.

abc: 7.608 7.608 7.608
angles: 139.48 139.48 58.64
Positions (direct):
K  0.250  0.750  0.500
K  0.750  0.250  0.500
Sr  0.000  0.000  0.000
Tl  0.500  0.500  0.000

Offset from the most stable computed form   0.436 eV/f.u.
Energy relative to the elements   0.3 kJ/mol of atoms
DOS(E_F)   2.874 states/eV/cell
Space-group type   I4/mmm

***

No. 3
This record from Alexandria describes crystalline KSrTl at its relaxed geometry. The functional is PBE.

abc: 5.891 5.891 5.891
angles: 60.00 60.00 60.00
Positions (direct):
K  0.000  0.000  0.000
Sr  0.500  0.500  0.500
Tl  0.750  0.750  0.750

Offset from the most stable computed form   0.481 eV/f.u.
Energy relative to the elements   1.1 kJ/mol of atoms
DOS(E_F)   4.697 states/eV/cell
Space-group type   F-43m

***

No. 4
This record from Alexandria describes crystalline KSr4Tl at its relaxed geometry. The functional is PBE.

abc: 7.807 7.807 7.807
angles: 60.00 60.00 60.00
Positions (direct):
K  0.000  0.000  0.000
Sr  0.127  0.624  0.624
Sr  0.624  0.127  0.624
Sr  0.624  0.624  0.127
Sr  0.624  0.624  0.624
Tl  0.250  0.250  0.250

Energy relative to the elements   23.0 kJ/mol of atoms
DOS(E_F)   7.752 states/eV/cell
Space-group type   F-43m

***

No. 5
This record from Alexandria describes crystalline K2SrTl at its relaxed geometry. The functional is PBE.

abc: 6.573 6.573 7.928
angles: 113.21 113.21 40.86
Positions (direct):
K  0.000  0.000  0.000
K  0.199  0.199  0.734
Sr  0.811  0.811  0.355
Tl  0.525  0.525  0.365

Offset from the most stable computed form   0.326 eV/f.u.
Energy relative to the elements   -2.3 kJ/mol of atoms
DOS(E_F)   5.113 states/eV/cell
Space-group type   Cm

***

No. 6
This record from Alexandria describes crystalline K2SrTl2 at its relaxed geometry. The functional is PBE.

abc: 9.120 9.120 9.120
angles: 148.55 148.55 45.08
Positions (direct):
K  0.250  0.750  0.500
K  0.750  0.250  0.500
Sr  0.000  0.000  0.000
Tl  0.409  0.409  0.000
Tl  0.591  0.591  0.000

Offset from the most stable computed form   0.027 eV/f.u.
Energy relative to the elements   -4.5 kJ/mol of atoms
DOS(E_F)   4.358 states/eV/cell
Space-group type   I4/mmm

***

No. 7
This record from Alexandria describes crystalline K2SrTl at its relaxed geometry. The functional is PBE.

abc: 5.226 5.226 6.766
angles: 90.00 90.00 90.00
Positions (direct):
K  0.000  0.500  0.000
K  0.500  0.000  0.000
Sr  0.000  0.000  0.500
Tl  0.500  0.500  0.500

Offset from the most stable computed form   0.473 eV/f.u.
Energy relative to the elements   1.2 kJ/mol of atoms
DOS(E_F)   3.600 states/eV/cell
Space-group type   P4/mmm

***

No. 8
This record from Alexandria describes crystalline K2SrTl at its relaxed geometry. The functional is PBE.

abc: 7.942 7.942 4.322
angles: 104.38 104.38 125.33
Positions (direct):
K  0.000  0.500  0.000
K  0.500  0.000  0.000
Sr  0.000  0.000  0.500
Tl  0.500  0.500  0.500

Offset from the most stable computed form   0.593 eV/f.u.
Energy relative to the elements   4.1 kJ/mol of atoms
DOS(E_F)   3.437 states/eV/cell
Space-group type   C2/m

***

| no. | M_tot (μB per atom) |
| --- | --- |
| 1 | 0.000 |
| 2 | 0.000 |
| 3 | 0.439 |
| 4 | 0.000 |
| 5 | 0.000 |
| 6 | 0.000 |
| 7 | 0.046 |
| 8 | 0.000 |